# 1
MgNiBr2 | SCAN | PBEsol geometry

Cell: 6.768 7.212 4.930 Å, 90.00 133.16 90.00°
Space group C2/m (No. 12)
Unique sites:
Mg (0.000, 0.000, 0.000) [2 per cell]
Ni (0.000, 0.500, 0.000) [2 per cell]
Br (0.250, 0.250, 0.500) [4 per cell]

Properties
**E_tot**: -0.5592 Ha/atom
**Offset from the most stable computed form**: 0.000 eV/atom
**ΔE_f (raw)**: -19 kJ per mole of atoms

# 2
MgNiBr2 | SCAN | PBEsol geometry

Cell: 6.630 6.630 6.630 Å, 90.00 90.00 90.00°
Space group Fm-3m (No. 225)
Unique sites:
Mg (0.000, 0.000, 0.000) [4 per cell]
Ni (0.000, 0.000, 0.500) [4 per cell]
Br (0.250, 0.250, 0.250) [8 per cell]

Properties
**E_tot**: -0.5531 Ha/atom
**Offset from the most stable computed form**: 0.165 eV/atom
**ΔE_f (raw)**: -3 kJ per mole of atoms

# 3
MgNi2Br | SCAN | PBEsol geometry

Cell: 3.482 3.932 4.134 Å, 90.00 90.00 90.00°
Space group Pmmm (No. 47)
Unique sites:
Mg (0.000, 0.000, 0.000) [1 per cell]
Ni (0.000, 0.500, 0.500) [1 per cell]
Ni (0.500, 0.500, 0.000) [1 per cell]
Br (0.500, 0.000, 0.500) [1 per cell]

Properties
**E_tot**: -0.5079 Ha/atom
**Offset from the most stable computed form**: 0.000 eV/atom
**ΔE_f (raw)**: 36 kJ per mole of atoms

# 4
MgNiRu2Br | SCAN | PBEsol geometry

Cell: 4.547 4.547 4.596 Å, 90.00 90.00 90.00°
Space group P4/mmm (No. 123)
Unique sites:
Mg (0.000, 0.000, 0.000) [1 per cell]
Ni (0.500, 0.500, 0.500) [1 per cell]
Ru (0.000, 0.500, 0.500) [2 per cell]
Br (0.500, 0.500, 0.000) [1 per cell]

Properties
**E_tot**: -0.7698 Ha/atom
**ΔE_f (raw)**: 107 kJ per mole of atoms

# 5
MgBr2O | SCAN | PBEsol geometry

Cell: 7.011 7.011 7.239 Å, 90.00 90.00 90.00°
Space group I-42d (No. 122)
Unique sites:
Mg (0.000, 0.000, 0.000) [4 per cell]
Br (0.230, 0.250, 0.125) [8 per cell]
O (0.000, 0.000, 0.500) [4 per cell]

Properties
**E_tot**: -0.4800 Ha/atom
**ΔE_f (raw)**: -51 kJ per mole of atoms

# 6
MgBrO3 | SCAN | PBEsol geometry

Cell: 3.986 3.986 3.986 Å, 90.00 90.00 90.00°
Space group Pm-3m (No. 221)
Unique sites:
Mg (0.000, 0.000, 0.000) [1 per cell]
Br (0.500, 0.500, 0.500) [1 per cell]
O (0.000, 0.500, 0.500) [3 per cell]

Properties
**E_tot**: -0.3223 Ha/atom
**ΔE_f (raw)**: -14 kJ per mole of atoms

Please write out number 5 again, unchanged.
MgBr2O | SCAN | PBEsol geometry

Cell: 7.011 7.011 7.239 Å, 90.00 90.00 90.00°
Space group I-42d (No. 122)
Unique sites:
Mg (0.000, 0.000, 0.000) [4 per cell]
Br (0.230, 0.250, 0.125) [8 per cell]
O (0.000, 0.000, 0.500) [4 per cell]

Properties
**E_tot**: -0.4800 Ha/atom
**ΔE_f (raw)**: -51 kJ per mole of atoms